# 1
Re5Mo at its PBEsol-relaxed geometry, computed with meta-GGA SCAN.

```
data_Re5Mo
_space_group_name_H-M_alt 'C 1 m 1'
_space_group_IT_number 8
_space_group_name_Hall 'C -2y'
_cell_length_a 10.1350
_cell_length_b 2.7507
_cell_length_c 6.5598
_cell_angle_alpha 90.00
_cell_angle_beta 105.18
_cell_angle_gamma 90.00
loop_
_atom_site_label
_atom_site_fract_x
_atom_site_fract_y
_atom_site_fract_z
_atom_site_occupancy
Re1 0.0000 0.0000 0.0000 1
Re2 0.0536 0.0000 0.6186 1
Re3 0.2241 0.5000 0.9478 1
Re4 0.3357 0.0000 0.6754 1
Re5 0.3954 0.0000 0.2814 1
Mo1 0.1696 0.5000 0.3385 1
```

Output
Energy relative to the lowest polymorph listed for this composition   0 meV per atom
Energy of formation from the pure elements   0.09 eV/atom



# 2
CsTlCl2 at its PBEsol-relaxed geometry, computed with meta-GGA SCAN.

```
data_CsTlCl2
_space_group_name_H-M_alt 'I -4 2 d'
_space_group_IT_number 122
_space_group_name_Hall 'I -4 2bw'
_cell_length_a 7.3595
_cell_length_b 7.3595
_cell_length_c 14.3784
_cell_angle_alpha 90.00
_cell_angle_beta 90.00
_cell_angle_gamma 90.00
loop_
_atom_site_label
_atom_site_fract_x
_atom_site_fract_y
_atom_site_fract_z
_atom_site_occupancy
Cs1 0.0000 0.0000 0.0000 1
Tl1 0.0000 0.0000 0.5000 1
Cl1 0.2164 0.2500 0.6250 1
```

Output
Raw formation energy   -1.50 eV/atom
Energy relative to the lowest polymorph listed for this composition   107 meV per atom



# 3
KHg2Cl at its PBEsol-relaxed geometry, computed with meta-GGA SCAN.

```
data_KHg2Cl
_space_group_name_H-M_alt 'R -3 m'
_space_group_IT_number 166
_space_group_name_Hall '-R 3 2"'
_cell_length_a 5.5046
_cell_length_b 5.5046
_cell_length_c 13.5184
_cell_angle_alpha 90.00
_cell_angle_beta 90.00
_cell_angle_gamma 120.00
loop_
_atom_site_label
_atom_site_fract_x
_atom_site_fract_y
_atom_site_fract_z
_atom_site_occupancy
K1 0.0000 0.0000 0.0000 1
Hg1 0.0000 0.0000 0.2497 1
Cl1 0.0000 0.0000 0.5000 1
```

Output
Raw formation energy   -0.76 eV/atom



Number 1: E_tot -64.97 eV/atom, N(E_F) 5.333 states/eV/f.u.. Number 2: E_tot -33.03 eV/atom, N(E_F) 0.000 states/eV/f.u.. Number 3: E_tot -38.92 eV/atom, N(E_F) 0.000 states/eV/f.u..